Entry 1:
The following is a PBE calculation of a relaxed structure of SiTcOs, from Alexandria via LeMat-Bulk.

Summary:
Polymorph energy (0 for the lowest one) ... 0.1654 eV per atom
Energy ... -9.11 eV/atom
Symmetry ... P3m1, No. 156
Spin magnetization ... 0.000 μB per formula unit

The structure in POSCAR format:
```
SiTcOs
1.0
-1.753 0.205 2.146
-0.978 -0.518 -2.548
0.549 -6.113 1.032
Tc Si Os
1 1 1
direct
0.333 0.667 0.661
0.667 0.333 0.332
0.000 0.000 0.007
```

***

Entry 2:
The following is a PBE calculation of a relaxed structure of PuTeRh, from Alexandria via LeMat-Bulk.

Summary:
Energy ... -8.97 eV/atom
Symmetry ... P3m1, No. 156
Spin magnetization ... 5.085 μB per formula unit

The structure in POSCAR format:
```
PuTeRh
1.0
3.952 0.000 0.000
0.000 4.480 0.000
0.000 -2.240 3.880
Te Pu Rh
1 1 1
direct
0.127 0.000 0.000
0.649 0.667 0.333
0.224 0.333 0.667
```

***

Entry 3:
The following is a PBE calculation of a relaxed structure of Zn4Pt, from Alexandria via LeMat-Bulk.

Summary:
ΔE_f ... 0.08 eV/atom
Energy ... -2.14 eV/atom
Symmetry ... Pm-3m, No. 221
Spin magnetization ... 0.000 μB per formula unit

The structure in POSCAR format:
```
Zn4Pt
1.0
4.857 0.000 0.000
0.000 4.857 0.000
0.000 0.000 4.857
Zn Pt
4 1
direct
0.000 0.000 0.000
0.000 0.500 0.500
0.500 0.000 0.500
0.500 0.500 0.000
0.500 0.500 0.500
```

***

Entry 4:
The following is a PBE calculation of a relaxed structure of LiFe2Mo, from Alexandria via LeMat-Bulk.

Summary:
ΔE_f ... 0.31 eV/atom
Polymorph energy (0 for the lowest one) ... 0.0925 eV per atom
Energy ... -7.11 eV/atom
Symmetry ... F-43m, No. 216
Spin magnetization ... 4.487 μB per formula unit

The structure in POSCAR format:
```
LiFe2Mo
1.0
4.129 0.000 0.000
2.065 3.576 0.000
2.065 1.192 3.372
Li Fe Mo
1 2 1
direct
0.500 0.500 0.500
0.000 0.000 0.000
0.250 0.250 0.250
0.750 0.750 0.750
```